# Dy5YTm2Th

A geometry-optimized Dy5YTm2Th structure (PBE, Alexandria).

abc: 11.083 11.083 9.658
angles: 90.00 90.00 150.31
Fractional positions:
1 Dy 0.014 0.986 0.500
2 Dy 0.272 0.728 0.804
3 Dy 0.304 0.696 0.200
4 Dy 0.399 0.601 0.524
5 Dy 0.468 0.532 0.225
6 Dy 0.532 0.468 0.725
7 Dy 0.601 0.399 0.024
8 Dy 0.696 0.304 0.700
9 Dy 0.728 0.272 0.304
10 Dy 0.986 0.014 0.000
11 Y 0.190 0.810 0.499
12 Y 0.810 0.190 0.999
13 Tm 0.116 0.884 0.813
14 Tm 0.129 0.871 0.193
15 Tm 0.871 0.129 0.693
16 Tm 0.884 0.116 0.313
17 Th 0.406 0.594 0.904
18 Th 0.594 0.406 0.404

=====

# DyYTm5Th2

A geometry-optimized DyYTm5Th2 structure (PBE, Alexandria).

abc: 9.801 9.801 9.801
angles: 127.19 127.19 77.94
Fractional positions:
1 Dy 0.250 0.750 0.500
2 Dy 0.750 0.250 0.500
3 Y 0.250 0.250 0.000
4 Y 0.750 0.750 0.000
5 Tm 0.000 0.000 0.000
6 Tm 0.070 0.570 0.920
7 Tm 0.150 0.070 0.500
8 Tm 0.350 0.850 0.920
9 Tm 0.430 0.350 0.500
10 Tm 0.500 0.500 0.000
11 Tm 0.570 0.650 0.500
12 Tm 0.650 0.150 0.080
13 Tm 0.850 0.930 0.500
14 Tm 0.930 0.430 0.080
15 Th 0.119 0.381 0.500
16 Th 0.381 0.881 0.261
17 Th 0.619 0.119 0.739
18 Th 0.881 0.619 0.500

=====

# Dy6Y2Tm3Th

A geometry-optimized Dy6Y2Tm3Th structure (PBE, Alexandria).

abc: 6.130 6.130 11.737
angles: 95.00 95.00 119.97
Fractional positions:
1 Dy 0.085 0.415 0.752
2 Dy 0.245 0.245 0.248
3 Dy 0.415 0.085 0.752
4 Dy 0.585 0.915 0.248
5 Dy 0.755 0.755 0.752
6 Dy 0.915 0.585 0.248
7 Y 0.333 0.667 0.500
8 Y 0.667 0.333 0.500
9 Tm 0.167 0.833 0.000
10 Tm 0.500 0.500 0.000
11 Tm 0.833 0.167 0.000
12 Th 0.000 0.000 0.500

=====

# DyYTmTh

A geometry-optimized DyYTmTh structure (PBE, Alexandria).

abc: 5.653 5.653 5.653
angles: 60.00 60.00 60.00
Fractional positions:
1 Dy 0.000 0.000 0.000
2 Y 0.750 0.750 0.750
3 Tm 0.250 0.250 0.250
4 Th 0.500 0.500 0.500

Computed properties:
Excess energy over the best structure of this formula in the dataset (eV/f.u.): 0.53

=====

# Dy2Y5TmTh

A geometry-optimized Dy2Y5TmTh structure (PBE, Alexandria).

abc: 10.749 10.749 10.055
angles: 90.00 90.00 149.43
Fractional positions:
1 Dy 0.110 0.890 0.500
2 Dy 0.119 0.881 0.909
3 Dy 0.881 0.119 0.409
4 Dy 0.890 0.110 0.000
5 Y 0.015 0.985 0.198
6 Y 0.266 0.734 0.517
7 Y 0.302 0.698 0.890
8 Y 0.380 0.620 0.213
9 Y 0.479 0.521 0.924
10 Y 0.521 0.479 0.424
11 Y 0.620 0.380 0.713
12 Y 0.698 0.302 0.390
13 Y 0.734 0.266 0.017
14 Y 0.985 0.015 0.698
15 Tm 0.403 0.597 0.624
16 Tm 0.597 0.403 0.124
17 Th 0.191 0.809 0.205
18 Th 0.809 0.191 0.705

=====

# DyY6Tm2Th3

A geometry-optimized DyY6Tm2Th3 structure (PBE, Alexandria).

abc: 6.182 6.182 11.742
angles: 95.05 95.05 119.97
Fractional positions:
1 Dy 0.000 0.000 0.000
2 Y 0.084 0.418 0.253
3 Y 0.250 0.250 0.747
4 Y 0.418 0.084 0.253
5 Y 0.582 0.916 0.747
6 Y 0.750 0.750 0.253
7 Y 0.916 0.582 0.747
8 Tm 0.333 0.667 0.000
9 Tm 0.667 0.333 0.000
10 Th 0.167 0.833 0.500
11 Th 0.500 0.500 0.500
12 Th 0.833 0.167 0.500

=====

no.,E_form (eV/f.u.),calculated density (g/cm³)
1,1.5,8.3
2,3.1,8.9
3,0.4,8.3
4,0.6,8.5
5,1.4,6.6
6,0.4,7.5